First-principles (PBE) data for a relaxed structure of LaScCr2, as listed in Alexandria.

```
LaScCr2
1.0
-3.6829 3.6829 2.8567
3.6829 -3.6829 2.8567
3.6829 3.6829 -2.8567
La Sc Cr
2 2 4
Direct
0.0000 0.0000 0.0000
0.7500 0.2500 0.5000
0.2500 0.7500 0.5000
0.5000 0.5000 0.0000
0.1317 0.6250 0.0067
0.3750 0.3817 0.5067
0.6183 0.1250 0.9933
0.8750 0.8683 0.4933
```

## Properties
- polymorph energy (0 for the lowest one) (meV/atom) = 755
- final energy (eV per atom) = -6.5041
- formation enthalpy at 0 K (eV/atom) = 1.122
- SG = I-42d